Entry 1:
CePPt6: optimized geometry, PBE.

Values from the calculation:
Volume   158 Å³/cell
Total energy   -0.4785 Ry/atom
Space-group type   R-3m
Energy relative to the elements   -54.3 kJ per mole of atoms

Cell: 5.485 5.485 6.847 Å, 66.39 66.39 60.00°
Positions (direct):
Ce 0.500 0.500 0.500
P 0.000 0.000 0.000
Pt 0.919 0.919 0.731
Pt 0.431 0.919 0.731
Pt 0.081 0.569 0.269
Pt 0.569 0.081 0.269
Pt 0.081 0.081 0.269
Pt 0.919 0.431 0.731

=====

Entry 2:
BaLa2Eu: optimized geometry, PBE.

Values from the calculation:
Volume   170 Å³/cell
Total energy   -0.3948 Ry/atom
Space-group type   P4/mmm
Energy relative to the elements   13.6 kJ per mole of atoms

Cell: 3.904 3.904 11.162 Å, 90.00 90.00 90.00°
Positions (direct):
Eu 0.500 0.500 0.000
Ba 0.500 0.500 0.500
La 0.000 0.000 0.772
La 0.000 0.000 0.228

=====

Entry 3:
Sm4TePt: optimized geometry, PBE.

Values from the calculation:
Volume   351 Å³/cell
ΔE_f (raw)   -0.713 eV/atom
Total energy   -0.3961 Ry/atom
Space-group type   C2/m

Cell: 5.852 8.305 10.130 Å, 127.30 90.00 110.63°
Positions (direct):
Sm 0.091 0.183 0.443
Sm 0.110 0.219 0.009
Sm 0.626 0.251 0.205
Sm 0.618 0.236 0.807
Sm 0.382 0.764 0.193
Sm 0.374 0.749 0.795
Sm 0.890 0.781 0.991
Sm 0.909 0.817 0.557
Te 0.303 0.606 0.426
Te 0.697 0.394 0.574
Pt 0.169 0.339 0.796
Pt 0.831 0.661 0.204

=====

Entry 4:
Cs2BiPdCl6: optimized geometry, PBE.

Values from the calculation:
Volume   306 Å³/cell
ΔE_f (raw)   -1.243 eV/atom
Total energy   -0.2520 Ry/atom
Space-group type   I4/mmm

Cell: 7.590 7.590 7.557 Å, 59.86 59.86 90.00°
Positions (direct):
Cs 0.750 0.250 0.500
Cs 0.250 0.750 0.500
Bi 0.000 0.000 0.000
Pd 0.500 0.500 0.000
Cl 0.258 0.258 0.484
Cl 0.742 0.742 0.516
Cl 0.256 0.256 0.000
Cl 0.744 0.744 0.000
Cl 0.744 0.256 0.000
Cl 0.256 0.744 0.000

=====

Entry 5:
CoRh2Se: optimized geometry, PBE.

Values from the calculation:
Volume   161 Å³/cell
ΔE_f (raw)   0.508 eV/atom
Total energy   -0.4274 Ry/atom
Space-group type   I-42d

Cell: 5.448 5.448 6.642 Å, 65.79 65.79 90.00°
Positions (direct):
Co 0.500 0.500 0.000
Co 0.250 0.750 0.500
Rh 0.618 0.125 0.250
Rh 0.132 0.625 0.250
Rh 0.375 0.382 0.750
Rh 0.875 0.868 0.750
Se 0.000 0.000 0.000
Se 0.750 0.250 0.500

=====

Entry 6:
MgBeMo2: optimized geometry, PBE.

Values from the calculation:
Volume   60 Å³/cell
Total energy   -0.4715 Ry/atom
Space-group type   Cm
Energy relative to the elements   31.8 kJ per mole of atoms

Cell: 4.726 4.726 4.996 Å, 83.88 83.88 32.84°
Positions (direct):
Be 0.492 0.492 0.502
Mo 0.001 0.001 0.982
Mo 0.764 0.764 0.750
Mg 0.242 0.242 0.266

=====

Entry 7:
LaPuCd2: optimized geometry, PBE.

Values from the calculation:
Volume   113 Å³/cell
Total energy   -0.3863 Ry/atom
Space-group type   R-3m
Energy relative to the elements   1.6 kJ per mole of atoms

Cell: 3.441 3.441 11.191 Å, 81.16 81.16 60.00°
Positions (direct):
Cd 0.252 0.252 0.244
Cd 0.748 0.748 0.756
La 0.500 0.500 0.500
Pu 0.000 0.000 0.000

=====

Entry 8:
CePm2Ir2: optimized geometry, PBE.

Values from the calculation:
Volume   258 Å³/cell
Total energy   -0.5350 Ry/atom
Space-group type   C2/c
Energy relative to the elements   -62.5 kJ per mole of atoms

Cell: 6.553 6.553 7.438 Å, 80.75 80.75 55.19°
Positions (direct):
Ce 0.081 0.919 0.250
Ce 0.919 0.081 0.750
Pm 0.453 0.227 0.150
Pm 0.773 0.547 0.350
Pm 0.547 0.773 0.850
Pm 0.227 0.453 0.650
Ir 0.730 0.952 0.523
Ir 0.048 0.270 0.977
Ir 0.270 0.048 0.477
Ir 0.952 0.730 0.023

=====

Entry 9:
CuPtN4Cl4: optimized geometry, PBE.

Values from the calculation:
Volume   217 Å³/cell
ΔE_f (raw)   1.592 eV/atom
Total energy   -0.2565 Ry/atom
Space-group type   I4/mmm

Cell: 7.094 7.094 7.094 Å, 96.82 96.82 139.69°
Positions (direct):
Cu 0.500 0.500 0.000
Pt 0.000 0.000 0.000
N 0.296 0.500 0.796
N 0.704 0.500 0.204
N 0.500 0.296 0.796
N 0.500 0.704 0.204
Cl 0.756 0.000 0.756
Cl 0.244 0.000 0.244
Cl 0.000 0.756 0.756
Cl 0.000 0.244 0.244

=====

Entry 10:
Bi2SbPd: optimized geometry, PBE.

Values from the calculation:
Volume   110 Å³/cell
ΔE_f (raw)   0.270 eV/atom
Total energy   -0.2939 Ry/atom
Space-group type   R-3m

Cell: 3.309 3.309 11.714 Å, 81.88 81.88 60.00°
Positions (direct):
Sb 0.500 0.500 0.500
Bi 0.078 0.078 0.766
Bi 0.922 0.922 0.234
Pd 0.000 0.000 0.000

=====

Entry 11:
CuTc2Ir: optimized geometry, PBE.

Values from the calculation:
Volume   56 Å³/cell
Total energy   -0.6132 Ry/atom
Space-group type   Cm
Energy relative to the elements   7.6 kJ per mole of atoms

Cell: 4.695 4.695 4.723 Å, 81.21 81.21 33.21°
Positions (direct):
Cu 0.498 0.498 0.503
Ir 0.744 0.744 0.745
Tc 0.005 0.005 0.005
Tc 0.252 0.252 0.247

=====

Entry 12:
LiIn4Ag15: optimized geometry, PBE.

Values from the calculation:
Volume   370 Å³/cell
Total energy   -0.2079 Ry/atom
Space-group type   P4/mmm
Energy relative to the elements   -4.6 kJ per mole of atoms

Cell: 4.250 4.250 20.512 Å, 90.00 90.00 90.00°
Positions (direct):
Li 0.000 0.000 0.000
In 0.000 0.000 0.193
In 0.000 0.000 0.397
In 0.000 0.000 0.603
In 0.000 0.000 0.807
Ag 0.500 0.500 0.000
Ag 0.500 0.500 0.196
Ag 0.500 0.500 0.398
Ag 0.500 0.500 0.602
Ag 0.500 0.500 0.804
Ag 0.500 0.000 0.093
Ag 0.500 0.000 0.296
Ag 0.500 0.000 0.500
Ag 0.500 0.000 0.704
Ag 0.500 0.000 0.907
Ag 0.000 0.500 0.093
Ag 0.000 0.500 0.296
Ag 0.000 0.500 0.500
Ag 0.000 0.500 0.704
Ag 0.000 0.500 0.907

=====

Entry 13:
ScAg3: optimized geometry, PBE.

Values from the calculation:
Volume   76 Å³/cell
Total energy   -0.2847 Ry/atom
Space-group type   P4/mmm
Energy relative to the elements   -14.7 kJ per mole of atoms

Cell: 3.488 3.488 6.248 Å, 90.00 90.00 90.00°
Positions (direct):
Sc 0.500 0.500 0.250
Ag 0.000 0.000 0.993
Ag 0.000 0.000 0.507
Ag 0.500 0.500 0.750

=====

Entry 14:
Ca2ZnSbN: optimized geometry, PBE.

Values from the calculation:
Volume   103 Å³/cell
ΔE_f (raw)   -0.731 eV/atom
Total energy   -0.3143 Ry/atom
Space-group type   P4/mmm

Cell: 5.025 5.025 4.066 Å, 90.00 90.00 90.00°
Positions (direct):
Sb 0.500 0.500 0.500
Zn 0.000 0.000 0.500
Ca 0.000 0.500 0.000
Ca 0.500 0.000 0.000
N 0.000 0.000 0.000

=====

Entry 15:
TlSn2Pb6: optimized geometry, PBE.

Values from the calculation:
Volume   276 Å³/cell
Total energy   -0.2651 Ry/atom
Space-group type   C2/m
Energy relative to the elements   1.7 kJ per mole of atoms

Cell: 3.534 7.797 11.644 Å, 62.20 81.27 76.90°
Positions (direct):
Tl 0.000 0.000 0.000
Sn 0.331 0.115 0.222
Sn 0.669 0.885 0.778
Pb 0.668 0.553 0.111
Pb 0.332 0.447 0.889
Pb 0.330 0.779 0.561
Pb 0.993 0.680 0.333
Pb 0.007 0.320 0.667
Pb 0.670 0.221 0.439

=====

Entry 16:
Fe3POs: optimized geometry, PBE.

Values from the calculation:
Volume   95 Å³/cell
Total energy   -0.4972 Ry/atom
Space-group type   Pm-3m
Energy relative to the elements   158.3 kJ per mole of atoms

Cell: 4.560 4.560 4.560 Å, 90.00 90.00 90.00°
Positions (direct):
P 0.500 0.500 0.500
Os 0.000 0.000 0.000
Fe 0.000 0.500 0.000
Fe 0.000 0.000 0.500
Fe 0.500 0.000 0.000

=====

Entry 17:
Ti8Ga6Mo: optimized geometry, PBE.

Values from the calculation:
Volume   260 Å³/cell
Total energy   -0.4638 Ry/atom
Space-group type   R-3
Energy relative to the elements   -16.1 kJ per mole of atoms

Cell: 7.533 7.533 6.851 Å, 56.65 56.65 60.00°
Positions (direct):
Ti 0.624 0.136 0.360
Ti 0.864 0.120 0.640
Ti 0.120 0.376 0.640
Ti 0.746 0.746 0.762
Ti 0.254 0.254 0.238
Ti 0.880 0.624 0.360
Ti 0.136 0.880 0.360
Ti 0.376 0.864 0.640
Ga 0.405 0.095 0.847
Ga 0.905 0.348 0.153
Ga 0.348 0.595 0.153
Ga 0.652 0.405 0.847
Ga 0.095 0.652 0.847
Ga 0.595 0.905 0.153
Mo 0.000 0.000 0.000

=====

Entry 18:
CeGe2Mo4: optimized geometry, PBE.

Values from the calculation:
Volume   133 Å³/cell
Total energy   -0.6242 Ry/atom
Space-group type   Cmmm
Energy relative to the elements   -13.1 kJ per mole of atoms

Cell: 4.416 4.465 7.099 Å, 108.33 90.00 90.00°
Positions (direct):
Ge 0.500 0.594 0.187
Ge 0.500 0.406 0.813
Mo 0.500 0.805 0.609
Mo 0.000 0.700 0.399
Mo 0.500 0.195 0.391
Mo 0.000 0.300 0.601
Ce 0.000 0.000 0.000

=====

Entry 19:
Cs2UGaSe4: optimized geometry, PBE.

Values from the calculation:
Volume   662 Å³/cell
ΔE_f (raw)   -0.961 eV/atom
Total energy   -0.3459 Ry/atom
Space-group type   Fddd

Cell: 6.443 8.290 13.836 Å, 84.81 76.54 67.13°
Positions (direct):
Cs 0.179 0.000 0.642
Cs 0.821 0.000 0.358
Cs 0.571 0.500 0.858
Cs 0.929 0.500 0.142
U 0.750 0.500 0.500
U 0.000 0.000 0.000
Ga 0.250 0.500 0.500
Ga 0.500 0.000 0.000
Se 0.328 0.803 0.105
Se 0.236 0.197 0.895
Se 0.869 0.803 0.895
Se 0.567 0.197 0.105
Se 0.422 0.697 0.395
Se 0.514 0.303 0.605
Se 0.881 0.697 0.605
Se 0.183 0.303 0.395

=====

Entry 20:
Li3Mg4Pb4: optimized geometry, PBE.

Values from the calculation:
Volume   261 Å³/cell
Total energy   -0.1920 Ry/atom
Space-group type   P-1
Energy relative to the elements   -15.6 kJ per mole of atoms

Cell: 3.537 4.250 17.567 Å, 96.85 95.93 89.95°
Positions (direct):
Li 0.638 0.638 0.278
Li 0.362 0.362 0.722
Li 0.000 0.000 0.000
Mg 0.092 0.091 0.185
Mg 0.274 0.273 0.547
Mg 0.726 0.727 0.453
Mg 0.908 0.909 0.815
Pb 0.549 0.549 0.099
Pb 0.451 0.451 0.901
Pb 0.818 0.817 0.635
Pb 0.182 0.183 0.365

=====

Entry 21:
LiSiNi: optimized geometry, PBE.

Values from the calculation:
Volume   137 Å³/cell
ΔE_f (raw)   -0.372 eV/atom
Total energy   -0.3487 Ry/atom
Space-group type   Cmcm

Cell: 4.060 8.255 4.078 Å, 90.00 90.00 90.00°
Positions (direct):
Li 0.000 0.928 0.250
Li 0.000 0.072 0.750
Li 0.500 0.428 0.250
Li 0.500 0.572 0.750
Si 0.000 0.261 0.250
Si 0.000 0.739 0.750
Si 0.500 0.761 0.250
Si 0.500 0.239 0.750
Ni 0.000 0.604 0.250
Ni 0.000 0.396 0.750
Ni 0.500 0.104 0.250
Ni 0.500 0.896 0.750

=====

Entry 22:
Cs2BeI6O: optimized geometry, PBE.

Values from the calculation:
Volume   377 Å³/cell
ΔE_f (raw)   -0.477 eV/atom
Total energy   -0.1798 Ry/atom
Space-group type   I4/mmm

Cell: 7.874 7.874 8.248 Å, 61.49 61.49 90.00°
Positions (direct):
Cs 0.750 0.250 0.500
Cs 0.250 0.750 0.500
I 0.194 0.194 0.612
I 0.806 0.806 0.388
I 0.275 0.275 0.000
I 0.725 0.725 0.000
I 0.725 0.275 0.000
I 0.275 0.725 0.000
O 0.000 0.000 0.000
Be 0.500 0.500 0.000

=====

Entry 23:
MgSi2Cl: optimized geometry, PBE.

Values from the calculation:
Volume   92 Å³/cell
ΔE_f (raw)   -0.173 eV/atom
Total energy   -0.2752 Ry/atom
Space-group type   Cmm2

Cell: 3.221 3.221 9.323 Å, 90.00 90.00 107.35°
Positions (direct):
Cl 0.000 0.000 0.602
Mg 0.500 0.500 0.766
Si 0.000 0.000 0.988
Si 0.500 0.500 0.144

=====

Entry 24:
TaTl2V2Se6: optimized geometry, PBE.

Values from the calculation:
Volume   271 Å³/cell
ΔE_f (raw)   -0.604 eV/atom
Total energy   -0.4167 Ry/atom
Space-group type   C2/m

Cell: 6.144 6.144 8.485 Å, 95.17 95.17 120.76°
Positions (direct):
Ta 0.000 0.000 0.500
Tl 0.827 0.173 0.000
Tl 0.173 0.827 0.000
V 0.368 0.632 0.500
V 0.632 0.368 0.500
Se 0.721 0.721 0.706
Se 0.040 0.392 0.674
Se 0.279 0.279 0.294
Se 0.392 0.040 0.674
Se 0.960 0.608 0.326
Se 0.608 0.960 0.326